A plane-wave DFT calculation with GGA-PBE was carried out for a relaxed Bi2Te2Cl crystal.

## Properties
Energy relative to the elements, uncorrected: -0.087 eV per atom
Fermi-level density of states: 0.587 states/eV per atom
Theoretical density: 7.61 Mg/m³

Geometry as CIF:
```
data_Bi2Te2Cl
_space_group_name_H-M_alt 'P 4/m b m'
_space_group_IT_number 127
_space_group_name_Hall '-P 4 2ab'
_cell_length_a 8.802
_cell_length_b 8.802
_cell_length_c 3.991
_cell_angle_alpha 90.00
_cell_angle_beta 90.00
_cell_angle_gamma 90.00
loop_
_atom_site_label
_atom_site_type_symbol
_atom_site_fract_x
_atom_site_fract_y
_atom_site_fract_z
Bi1 Bi 0.142 0.358 0.000
Te1 Te 0.150 0.650 0.500
Cl1 Cl 0.000 0.000 0.500
```